No. 1
! Sc2TaCd | Alexandria | PBE-GGA | relaxed; values from VASP
&SYSTEM
  ibrav = 0, nat = 4, ntyp = 3
/
ATOMIC_SPECIES
Ta 180.95 Ta.upf
Sc 44.96 Sc.upf
Cd 112.41 Cd.upf
CELL_PARAMETERS angstrom
-5.247 -0.361 0.933
-4.778 -1.384 -1.946
-0.504 -5.181 1.757
ATOMIC_POSITIONS angstrom
Ta -7.896 -5.194 0.559
Sc -5.244 -3.518 0.395
Sc -0.524 -5.126 1.735
Cd -2.632 -1.731 0.186
! - Raw total energy: -6.21 eV per atom

No. 2
! ErInPt6 | Alexandria | PBE-GGA | relaxed; values from VASP
&SYSTEM
  ibrav = 0, nat = 8, ntyp = 3
/
ATOMIC_SPECIES
Pt 195.08 Pt.upf
Er 167.26 Er.upf
In 114.82 In.upf
CELL_PARAMETERS angstrom
-3.059 -0.798 2.584
2.581 -2.028 2.429
1.610 6.873 4.027
ATOMIC_POSITIONS angstrom
Pt 2.503 4.164 4.249
Pt -0.239 -1.413 2.507
Pt 0.566 2.024 4.520
Pt -1.133 1.296 2.285
Pt 1.687 0.681 2.208
Pt -0.317 4.779 4.326
Er 0.805 3.436 2.014
In 0.000 0.000 0.000
! - Raw total energy: -6.17 eV per atom

No. 3
! In16Ga12Ge | Alexandria | PBE-GGA | relaxed; values from VASP
&SYSTEM
  ibrav = 0, nat = 29, ntyp = 3
/
ATOMIC_SPECIES
Ga 69.72 Ga.upf
In 114.82 In.upf
Ge 72.64 Ge.upf
CELL_PARAMETERS angstrom
8.753 0.805 -2.637
-3.622 8.009 -2.637
0.278 0.477 9.211
ATOMIC_POSITIONS angstrom
Ga 0.186 3.097 -1.191
Ga 3.743 6.430 4.095
In -0.067 8.461 2.085
In 5.586 0.887 1.843
In 0.932 5.650 0.333
In 1.310 5.602 -2.764
In 4.453 3.600 0.333
In -1.987 5.295 1.843
In 1.000 5.417 3.413
In 7.391 4.120 2.085
In 0.296 0.509 8.974
In 0.170 0.292 5.575
In 4.225 3.905 -2.764
Ga 4.165 7.154 -2.700
Ga -0.921 7.305 4.720
Ga 7.016 3.460 -1.953
Ga -2.128 7.752 0.101
In 4.217 3.544 3.413
Ga 2.601 1.691 -1.191
Ge 3.727 6.402 -0.086
Ga 2.865 8.032 2.031
Ga 7.792 1.978 0.101
Ga -0.455 7.809 -1.953
Ga 6.807 2.806 4.720
In 5.449 0.725 -1.731
In 1.744 2.996 5.403
Ga 5.570 6.457 2.031
In -2.059 5.096 -1.731
In 1.538 2.643 1.669
! - Raw total energy: -2.88 eV per atom